# MoPtCl2 | Alexandria via LeMat-Bulk | GGA-PBE | relaxed
data_MoPtCl2
_cell_length_a 2.945
_cell_length_b 4.280
_cell_length_c 5.463
_cell_angle_alpha 90.00
_cell_angle_beta 90.00
_cell_angle_gamma 90.00
_symmetry_space_group_name_H-M 'P 1'
_symmetry_Int_Tables_number 1
_symmetry_space_group_name_Hall 'P 1'
loop_
_atom_site_label
_atom_site_fract_x
_atom_site_fract_y
_atom_site_fract_z
Mo1 0.000 0.000 0.000
Pt1 0.500 0.000 0.500
Cl1 0.000 0.500 0.500
Cl2 0.500 0.500 0.000
# * excess energy over the best structure of this formula in the dataset: 730 meV/atom
# * ΔE_f (raw): 2.0 eV per formula unit
# * D(E_F): 0.91 states/eV/atom